## Li2VBO4 (SCAN)

Data for a PBEsol-optimized structure of Li2VBO4.

V (Å³/atom): 9.08
ΔE_f (raw) (eV/atom): -2.486

Unit cell a=4.606 b=5.128 c=7.679 alpha=90.00 beta=126.75 gamma=90.00
Fractional coordinates of all 16 atoms:
Li (0.000, 0.150, 0.000)
Li (0.000, 0.850, 0.500)
Li (0.252, 0.313, 0.755)
Li (0.252, 0.687, 0.255)
V (0.746, 0.326, 0.242)
V (0.746, 0.674, 0.742)
B (0.482, 0.179, 0.501)
B (0.482, 0.821, 0.001)
O (0.157, 0.191, 0.497)
O (0.157, 0.809, 0.997)
O (0.386, 0.310, 0.298)
O (0.386, 0.690, 0.798)
O (0.584, 0.098, 0.007)
O (0.584, 0.902, 0.507)
O (0.784, 0.315, 0.702)
O (0.784, 0.685, 0.202)



## Li3VBO5 (SCAN)

Data for a PBEsol-optimized structure of Li3VBO5.

V (Å³/atom): 8.99
ΔE_f (raw) (eV/atom): -2.497

Unit cell a=4.808 b=16.159 c=4.631 alpha=90.00 beta=90.00 gamma=90.00
Fractional coordinates of all 40 atoms:
Li (0.136, 0.209, 0.000)
Li (0.177, 0.993, 0.021)
Li (0.218, 0.613, 0.024)
Li (0.282, 0.113, 0.524)
Li (0.323, 0.493, 0.521)
Li (0.364, 0.709, 0.500)
Li (0.636, 0.291, 0.000)
Li (0.677, 0.507, 0.021)
Li (0.718, 0.887, 0.024)
Li (0.782, 0.387, 0.524)
Li (0.823, 0.007, 0.521)
Li (0.864, 0.791, 0.500)
V (0.150, 0.399, 0.019)
V (0.350, 0.899, 0.519)
V (0.650, 0.101, 0.019)
V (0.850, 0.601, 0.519)
B (0.205, 0.792, 0.997)
B (0.295, 0.292, 0.497)
B (0.705, 0.708, 0.997)
B (0.795, 0.208, 0.497)
O (0.093, 0.226, 0.592)
O (0.200, 0.606, 0.582)
O (0.208, 0.373, 0.626)
O (0.210, 0.802, 0.682)
O (0.210, 0.995, 0.589)
O (0.290, 0.302, 0.182)
O (0.290, 0.495, 0.089)
O (0.292, 0.873, 0.126)
O (0.300, 0.106, 0.082)
O (0.407, 0.726, 0.092)
O (0.593, 0.274, 0.592)
O (0.700, 0.894, 0.582)
O (0.708, 0.127, 0.626)
O (0.710, 0.505, 0.589)
O (0.710, 0.698, 0.682)
O (0.790, 0.005, 0.089)
O (0.790, 0.198, 0.182)
O (0.792, 0.627, 0.126)
O (0.800, 0.394, 0.082)
O (0.907, 0.774, 0.092)



## Li3VB2O6 (SCAN)

Data for a PBEsol-optimized structure of Li3VB2O6.

V (Å³/atom): 9.26
ΔE_f (raw) (eV/atom): -2.542

Unit cell a=5.095 b=5.753 c=7.681 alpha=81.08 beta=88.88 gamma=88.92
Fractional coordinates of all 24 atoms:
Li (0.159, 0.011, 0.255)
Li (0.159, 0.262, 0.913)
Li (0.328, 0.181, 0.603)
Li (0.672, 0.819, 0.397)
Li (0.841, 0.738, 0.087)
Li (0.841, 0.989, 0.745)
V (0.347, 0.497, 0.256)
V (0.653, 0.503, 0.744)
B (0.162, 0.654, 0.578)
B (0.343, 0.823, 0.917)
B (0.657, 0.177, 0.083)
B (0.838, 0.346, 0.422)
O (0.105, 0.302, 0.403)
O (0.210, 0.984, 0.803)
O (0.219, 0.726, 0.076)
O (0.283, 0.494, 0.709)
O (0.302, 0.755, 0.432)
O (0.394, 0.239, 0.110)
O (0.606, 0.761, 0.890)
O (0.698, 0.245, 0.568)
O (0.717, 0.506, 0.291)
O (0.781, 0.274, 0.924)
O (0.790, 0.016, 0.197)
O (0.895, 0.698, 0.597)



## LiB2PRu (SCAN)

Data for a PBEsol-optimized structure of LiB2PRu.

Formation energy from the elements (eV/f.u.): 5.8
V (Å³/atom): 14.47

Unit cell a=3.930 b=3.930 c=4.685 alpha=90.00 beta=90.00 gamma=90.00
Fractional coordinates of all 5 atoms:
Li (0.000, 0.000, 0.000)
B (0.000, 0.500, 0.500)
B (0.500, 0.000, 0.500)
P (0.500, 0.500, 0.000)
Ru (0.000, 0.000, 0.500)



| no. | total magnetic moment (μB per cell) |
| --- | --- |
| 1 | 4.00 |
| 2 | 4.00 |
| 3 | 4.00 |
| 4 | 1.39 |